Computed, not measured: a geometry-optimized CaLaNd6Dy2 structure at the PBE level of DFT.

Total energy: -86.9 eV/cell
ΔE_f: 0.1292 eV/atom
Density of states at the Fermi level: 30.1 states/eV per cell
Total magnetic moment: 0.0 μB/f.u.

Cell: 9.9699 9.0476 9.0476 Å, 118.18 94.01 94.01°
Closest atoms and distances in Å follow each position.
Sites, in units of the cell vectors:
Ca (0.2500, 0.4028, 0.5972)  8 Nd 3.59-4.02, 2 Dy 3.68
Ca (0.7500, 0.5972, 0.4028)  8 Nd 3.59-4.02, 2 Dy 3.68
La (0.2500, 0.9721, 0.0279)  4 Dy 3.50-3.51, 6 Nd 3.70-3.92
La (0.7500, 0.0279, 0.9721)  4 Dy 3.50-3.51, 6 Nd 3.70-3.92
Nd (0.0527, 0.1130, 0.7584)  4 Nd 3.45-3.76, 1 Dy 3.52, 1 La 3.75
Nd (0.4473, 0.2416, 0.8870)  4 Nd 3.45-3.76, 1 Dy 3.52, 1 La 3.75
Nd (0.9473, 0.8870, 0.2416)  4 Nd 3.45-3.76, 1 Dy 3.52, 1 La 3.75
Nd (0.5527, 0.7584, 0.1130)  4 Nd 3.45-3.76, 1 Dy 3.52, 1 La 3.75
Nd (0.3240, 0.9742, 0.4359)  3 Nd 3.29-3.68, 2 Dy 3.56-3.64, 1 Ca 3.59
Nd (0.1760, 0.5641, 0.0258)  3 Nd 3.29-3.68, 2 Dy 3.56-3.64, 1 Ca 3.59
Nd (0.6760, 0.0258, 0.5641)  3 Nd 3.29-3.68, 2 Dy 3.56-3.64, 1 Ca 3.59
Nd (0.8240, 0.4359, 0.9742)  3 Nd 3.29-3.68, 2 Dy 3.56-3.64, 1 Ca 3.59
Nd (0.1207, 0.7076, 0.4936)  3 Nd 3.29-3.45, 3 Dy 3.37-3.54, 1 Ca 3.59
Nd (0.3793, 0.5064, 0.2924)  3 Nd 3.29-3.45, 3 Dy 3.37-3.54, 1 Ca 3.59
Nd (0.8793, 0.2924, 0.5064)  3 Nd 3.29-3.45, 3 Dy 3.37-3.54, 1 Ca 3.59
Nd (0.6207, 0.4936, 0.7076)  3 Nd 3.29-3.45, 3 Dy 3.37-3.54, 1 Ca 3.59
Dy (0.4542, 0.8017, 0.7006)  6 Nd 3.37-3.64, 2 La 3.50-3.51, 1 Ca 3.68
Dy (0.0458, 0.2994, 0.1983)  6 Nd 3.37-3.64, 2 La 3.50-3.51, 1 Ca 3.68
Dy (0.5458, 0.1983, 0.2994)  6 Nd 3.37-3.64, 2 La 3.50-3.51, 1 Ca 3.68
Dy (0.9542, 0.7006, 0.8017)  6 Nd 3.37-3.64, 2 La 3.50-3.51, 1 Ca 3.68